(1)
The following is a PBE calculation of BaPmSb2Pd2 after structural relaxation, from Alexandria via LeMat-Bulk.

Lattice parameters (Å, degrees): 4.7443 4.7443 8.3075 90.00 90.00 120.00
Closest atoms and distances in Å follow each position.
Element x y z (fractional)
Ba: 0.0000 0.0000 0.0000  6 Sb 3.60, 6 Pd 3.82
Pm: 0.0000 0.0000 0.5000  6 Pd 3.12, 6 Sb 3.29
Sb: 0.3333 0.6667 0.2815  3 Pd 2.76
Sb: 0.6667 0.3333 0.7185  3 Pd 2.76
Pd: 0.3333 0.6667 0.6791  3 Sb 2.76
Pd: 0.6667 0.3333 0.3209  3 Sb 2.76

M_tot = 0.00 Bohr magnetons per cell
Formation energy from raw total energies = -0.997 eV per atom

***

(2)
The following is a PBE calculation of RbSb2H2 after structural relaxation, from Alexandria via LeMat-Bulk.

Lattice parameters (Å, degrees): 5.2768 7.4787 8.3035 93.85 108.46 110.66
Closest atoms and distances in Å follow each position.
Element x y z (fractional)
Rb: 0.1904 0.2501 0.2497  2 H 3.02
Rb: 0.8096 0.7499 0.7503  2 H 3.02
Sb: 0.0915 0.3313 0.7130  1 H 1.75
Sb: 0.4530 0.8314 0.2131  1 H 1.75
Sb: 0.5470 0.1686 0.7869  1 H 1.75
Sb: 0.9085 0.6687 0.2870  1 H 1.75
H: 0.0932 0.8365 0.4849  1 Sb 1.75
H: 0.2728 0.6638 0.0151  1 Sb 1.75
H: 0.7272 0.3362 0.9849  1 Sb 1.75
H: 0.9068 0.1635 0.5151  1 Sb 1.75

M_tot = 0.00 Bohr magnetons per cell
Polymorph energy (0 for the lowest one) = 0 meV/atom

***

Let's list DFT total energy in order: -5.21; -3.25 eV/atom.
Let's list calculated density in order: 7575; 3859 kg/m³.